A plane-wave DFT calculation with GGA-PBE was carried out for a geometry-optimized Li2InHAu structure.

Cell: 4.0352 4.0352 4.4823 Å, 90.00 90.00 90.00°
Last column: nearest neighbours and their distance in Å.
Space group P4/mmm (No. 123)
Inequivalent atoms, fractional coordinates:
Li 0.0000 0.5000 0.0000 [2 per cell]  2 H 2.02
In 0.0000 0.0000 0.5000 [1 per cell]  2 H 2.24
H 0.0000 0.0000 0.0000 [1 per cell]  4 Li 2.02, 2 In 2.24
Au 0.5000 0.5000 0.5000 [1 per cell]  4 In 2.85, 8 Li 3.02

Results
E in Ry/atom: -0.2155
Energy above the most stable polymorph in this dataset in meV per atom: 18